[1]
NaCeMg2Au4: relaxed, PBE-GGA.

The calculation puts the density at 9.71 g cm⁻³. As for the energy of formation from the pure elements: -0.52 eV/atom. As for the total energy: -3.468 eV/atom.

abc: 9.136 9.136 9.136
angles: 30.20 30.20 30.20
Element x y z (fractional)
Na 0.000 0.000 0.000
Ce 0.500 0.500 0.500
Mg 0.259 0.259 0.259
Mg 0.741 0.741 0.741
Au 0.110 0.110 0.110
Au 0.382 0.382 0.382
Au 0.618 0.618 0.618
Au 0.890 0.890 0.890

=====

[2]
PuAlGa2Pd4: relaxed, PBE-GGA.

The calculation puts the density at 9.99 g cm⁻³. As for the energy of formation from the pure elements: -0.64 eV/atom. As for the total energy: -6.248 eV/atom.

abc: 8.902 8.902 8.902
angles: 28.17 28.17 28.17
Element x y z (fractional)
Pu 0.000 0.000 0.000
Al 0.500 0.500 0.500
Ga 0.244 0.244 0.244
Ga 0.756 0.756 0.756
Pd 0.135 0.135 0.135
Pd 0.402 0.402 0.402
Pd 0.598 0.598 0.598
Pd 0.865 0.865 0.865

=====

[3]
Nd3CuSn3: relaxed, PBE-GGA.

The calculation puts the density at 7.42 g cm⁻³. As for the energy of formation from the pure elements: -0.68 eV/atom. As for the total energy: -5.023 eV/atom.

abc: 6.222 6.222 15.250
angles: 108.44 108.44 43.45
Element x y z (fractional)
Nd 0.032 0.032 0.385
Nd 0.097 0.097 0.920
Nd 0.243 0.243 0.230
Nd 0.757 0.757 0.770
Nd 0.903 0.903 0.080
Nd 0.968 0.968 0.615
Cu 0.265 0.265 0.606
Cu 0.735 0.735 0.394
Sn 0.353 0.353 0.455
Sn 0.373 0.373 0.924
Sn 0.468 0.468 0.762
Sn 0.532 0.532 0.238
Sn 0.627 0.627 0.076
Sn 0.647 0.647 0.545

=====

[4]
Y5Cd3: relaxed, PBE-GGA.

The relative energy among the computed polymorphs comes out at 52 meV per atom. The calculation puts the density at 5.71 g cm⁻³. As for the energy of formation from the pure elements: -0.19 eV/atom. As for the total energy: -4.577 eV/atom.

abc: 9.246 9.246 6.144
angles: 90.00 90.00 120.00
Element x y z (fractional)
Y 0.000 0.236 0.250
Y 0.000 0.764 0.750
Y 0.236 0.000 0.250
Y 0.236 0.236 0.750
Y 0.333 0.667 0.000
Y 0.333 0.667 0.500
Y 0.667 0.333 0.000
Y 0.667 0.333 0.500
Y 0.764 0.000 0.750
Y 0.764 0.764 0.250
Cd 0.000 0.402 0.750
Cd 0.000 0.598 0.250
Cd 0.402 0.000 0.750
Cd 0.402 0.402 0.250
Cd 0.598 0.000 0.250
Cd 0.598 0.598 0.750

=====

[5]
LaTaSb2: relaxed, PBE-GGA.

The value obtained for the uncorrected formation energy is -0.225 eV/atom. The relative energy among the computed polymorphs comes out at 178 meV per atom. The calculation puts the density at 8.25 g cm⁻³. As for the total energy: -6.481 eV/atom.

abc: 5.313 3.949 10.806
angles: 90.00 90.00 90.00
Element x y z (fractional)
La 0.000 0.000 0.000
La 0.000 0.500 0.500
Ta 0.500 0.000 0.281
Ta 0.500 0.500 0.781
Sb 0.000 0.000 0.280
Sb 0.000 0.500 0.780
Sb 0.500 0.000 0.582
Sb 0.500 0.500 0.082

=====

[6]
K2UBr4O2: relaxed, PBE-GGA.

The value obtained for the uncorrected formation energy is -2.003 eV/atom. The calculation puts the density at 3.95 g cm⁻³. As for the total energy: -5.347 eV/atom.

abc: 7.280 7.280 5.789
angles: 92.53 92.53 66.32
Element x y z (fractional)
K 0.160 0.160 0.277
K 0.840 0.840 0.723
U 0.500 0.500 0.000
Br 0.126 0.645 0.228
Br 0.355 0.874 0.772
Br 0.645 0.126 0.228
Br 0.874 0.355 0.772
O 0.392 0.392 0.776
O 0.608 0.608 0.224

=====

[7]
Ba4H2Au: relaxed, PBE-GGA.

The calculation puts the density at 4.89 g cm⁻³. As for the total energy: -2.907 eV/atom.

abc: 8.817 8.817 8.817
angles: 103.58 103.58 122.03
Element x y z (fractional)
Ba 0.075 0.809 0.162
Ba 0.087 0.925 0.733
Ba 0.104 0.441 0.767
Ba 0.191 0.354 0.267
Ba 0.559 0.325 0.662
Ba 0.646 0.913 0.838
Ba 0.663 0.896 0.338
Ba 0.675 0.337 0.233
H 0.375 0.195 0.320
H 0.805 0.125 0.180
H 0.875 0.055 0.680
H 0.945 0.625 0.820
Au 0.250 0.750 0.500
Au 0.500 0.500 0.000

=====

[8]
RuSeI: relaxed, PBE-GGA.

The value obtained for the uncorrected formation energy is -0.055 eV/atom. The calculation puts the density at 7.29 g cm⁻³. As for the total energy: -4.825 eV/atom.

abc: 6.894 6.262 6.900
angles: 90.00 110.17 90.00
Element x y z (fractional)
Ru 0.219 0.030 0.250
Ru 0.219 0.470 0.750
Ru 0.781 0.530 0.250
Ru 0.781 0.970 0.750
Se 0.116 0.150 0.889
Se 0.116 0.350 0.389
Se 0.884 0.650 0.611
Se 0.884 0.850 0.111
I 0.367 0.649 0.136
I 0.367 0.851 0.636
I 0.633 0.149 0.364
I 0.633 0.351 0.864

=====

Total magnetic moment (μB per formula unit)
0.88 5.55 0.00 0.00 0.00 0.00 0.75 0.00